(1)
VASP calculation (PBE) on crystalline TlSi2Pb at its relaxed geometry.

Properties
Energy above the most stable polymorph in this dataset: 111.6 meV per atom
ΔE_f (raw): 0.306 eV per atom
Symmetry: Pm, No. 6
VASP energy: -3.92 eV/atom
Crystal system: monoclinic

```
TlSi2Pb
1.0
4.876 0.000 0.000
0.000 3.704 0.000
-2.266 0.000 5.532
Tl Si Pb
1 2 1
direct
0.000 0.000 0.000
0.574 0.500 0.176
0.752 0.000 0.442
0.323 0.500 0.607
```

***

(2)
VASP calculation (PBE) on crystalline La3BiIrBr at its relaxed geometry.

Properties
ΔE_f (raw): -0.955 eV per atom
Symmetry: P2_1/m, No. 11
VASP energy: -5.82 eV/atom
Crystal system: monoclinic

```
La3BiIrBr
1.0
8.260 0.000 0.000
0.000 4.496 0.000
-3.735 0.000 9.966
La Bi Ir Br
6 2 2 2
direct
0.021 0.250 0.355
0.200 0.250 0.984
0.417 0.750 0.607
0.583 0.250 0.393
0.800 0.750 0.016
0.979 0.750 0.645
0.235 0.750 0.225
0.765 0.250 0.775
0.218 0.250 0.627
0.782 0.750 0.373
0.372 0.750 0.884
0.628 0.250 0.116
```

***

(3)
VASP calculation (PBE) on crystalline MgZnAs at its relaxed geometry.

Properties
Symmetry: F-43m, No. 216
VASP energy: -2.65 eV/atom
E_form: -0.1420 eV per atom
Crystal system: cubic

```
MgZnAs
1.0
0.000 3.186 3.186
3.186 0.000 3.186
3.186 3.186 0.000
Mg Zn As
1 1 1
direct
0.000 0.000 0.000
0.500 0.500 0.500
0.750 0.750 0.750
```

***

(4)
VASP calculation (PBE) on crystalline TaTl2NiS4 at its relaxed geometry.

Properties
ΔE_f (raw): -0.536 eV per atom
Symmetry: I-4, No. 82
VASP energy: -5.40 eV/atom
Crystal system: tetragonal

```
TaTl2NiS4
1.0
-3.527 3.527 4.198
3.527 -3.527 4.198
3.527 3.527 -4.198
Ta Tl Ni S
1 2 1 4
direct
0.000 0.000 0.000
0.250 0.750 0.500
0.500 0.500 0.000
0.750 0.250 0.500
0.386 0.010 0.101
0.715 0.614 0.624
0.909 0.285 0.899
0.990 0.091 0.376
```

***

(5)
VASP calculation (PBE) on crystalline TaAuI2O at its relaxed geometry.

Properties
Energy above the most stable polymorph in this dataset: 0.0 meV per atom
ΔE_f (raw): -0.410 eV per atom
Symmetry: P4/mmm, No. 123
VASP energy: -5.05 eV/atom
Crystal system: tetragonal

```
TaAuI2O
1.0
5.611 0.000 0.000
0.000 5.611 0.000
0.000 0.000 3.886
Ta Au I O
1 1 2 1
direct
0.000 0.000 0.000
0.500 0.500 0.500
0.000 0.500 0.000
0.500 0.000 0.000
0.000 0.000 0.500
```

***

(6)
VASP calculation (PBE) on crystalline La2NiOsI at its relaxed geometry.

Properties
ΔE_f (raw): 0.403 eV per atom
Symmetry: P4/mmm, No. 123
VASP energy: -5.28 eV/atom
Crystal system: tetragonal

```
La2NiOsI
1.0
5.512 0.000 0.000
0.000 5.512 0.000
0.000 0.000 5.213
La Ni Os I
2 1 1 1
direct
0.000 0.500 0.000
0.500 0.000 0.000
0.000 0.000 0.500
0.500 0.500 0.000
0.500 0.500 0.500
```

***

| no. | total magnetic moment (μB per formula unit) |
| --- | --- |
| 1 | 0.00 |
| 2 | 0.29 |
| 3 | 0.00 |
| 4 | 1.02 |
| 5 | 0.00 |
| 6 | 0.24 |